Below is CaGdSbPt after structural relaxation, with properties calculated at the PBE level.

Values from the calculation:
- DOS at the Fermi energy (states/eV/cell) = 2.5
- raw formation energy (eV per atom) = -0.9379
- crystal system = cubic
- magnetization (Bohr magnetons per cell) = 6.97
- SG = No. 216

a b c (Å): 5.1884 5.1884 5.1884
angles (deg): 60.00 60.00 60.00
Site moments in Bohr magnetons follow the coordinates.
Fractional coordinates of all 4 atoms:
1 Sb 0.7500 0.7500 0.7500  0.04
2 Ca 0.5000 0.5000 0.5000  0.00
3 Gd 0.0000 0.0000 0.0000  -6.96
4 Pt 0.2500 0.2500 0.2500  0.03